! ErSnAuSe3 (GGA-PBE, optimized geometry); values from VASP
&SYSTEM
  ibrav = 0, nat = 12, ntyp = 4
/
ATOMIC_SPECIES
Er 167.26 Er.upf
Sn 118.71 Sn.upf
Au 196.97 Au.upf
Se 78.96 Se.upf
CELL_PARAMETERS angstrom
2.0220 -6.8555 0.0000
2.0220 6.8555 0.0000
0.0000 0.0000 10.5795
ATOMIC_POSITIONS angstrom
Er 0.0000 0.0000 0.0000
Er 0.0000 0.0000 5.2898
Sn 2.0220 3.6888 7.9347
Sn 2.0220 -3.6888 2.6449
Au 2.0220 0.4737 2.6449
Au 2.0220 -0.4737 7.9347
Se 2.0220 5.5553 2.6449
Se 2.0220 2.0004 0.5291
Se 2.0220 2.0004 4.7607
Se 2.0220 -2.0004 5.8189
Se 2.0220 -2.0004 10.0504
Se 2.0220 -5.5553 7.9347
! * energy above the lowest structure with this stoichiometry: 0.143 eV per formula unit
! * energy: -4.57 eV per atom
! * V: 24.44 Å³ per atom
! * symmetry: Cmcm (63)


! USnPt (GGA-PBE, optimized geometry); values from VASP
&SYSTEM
  ibrav = 0, nat = 9, ntyp = 3
/
ATOMIC_SPECIES
U 238.03 U.upf
Sn 118.71 Sn.upf
Pt 195.08 Pt.upf
CELL_PARAMETERS angstrom
8.6541 0.0000 0.0000
-4.3270 7.4947 0.0000
0.0000 0.0000 2.9987
ATOMIC_POSITIONS angstrom
U -1.3438 2.3275 0.0000
U 2.6876 0.0000 0.0000
U 2.9833 5.1672 0.0000
Sn 0.0000 0.0000 1.4993
Sn 0.0000 4.9964 0.0000
Sn 4.3271 2.4982 0.0000
Pt -2.8053 4.8590 1.4993
Pt 1.5217 2.6357 1.4993
Pt 5.6106 0.0000 1.4993
! * energy: -7.21 eV per atom
! * V: 21.61 Å³ per atom
! * symmetry: P-62m (189)


! Sr2Nb2Ir3 (GGA-PBE, optimized geometry); values from VASP
&SYSTEM
  ibrav = 0, nat = 14, ntyp = 3
/
ATOMIC_SPECIES
Sr 87.62 Sr.upf
Nb 92.91 Nb.upf
Ir 192.22 Ir.upf
CELL_PARAMETERS angstrom
4.1670 0.0000 0.0000
0.0000 24.3128 0.0000
0.0000 0.0000 3.0099
ATOMIC_POSITIONS angstrom
Sr 0.0000 1.8212 0.0000
Sr 0.0000 22.4915 0.0000
Sr 2.0835 10.3352 0.0000
Sr 2.0835 13.9776 0.0000
Nb 0.0000 5.2066 0.0000
Nb 0.0000 19.1062 0.0000
Nb 2.0835 6.9498 0.0000
Nb 2.0835 17.3630 0.0000
Ir 0.0000 7.7327 1.5050
Ir 0.0000 12.1564 1.5050
Ir 0.0000 16.5801 1.5050
Ir 2.0835 0.0000 1.5050
Ir 2.0835 4.4237 1.5050
Ir 2.0835 19.8891 1.5050
! * energy: -7.20 eV per atom
! * V: 21.78 Å³ per atom
! * symmetry: Cmmm (65)


! DyHoAlZn2 (GGA-PBE, optimized geometry); values from VASP
&SYSTEM
  ibrav = 0, nat = 10, ntyp = 4
/
ATOMIC_SPECIES
Dy 162.50 Dy.upf
Ho 164.93 Ho.upf
Al 26.98 Al.upf
Zn 65.41 Zn.upf
CELL_PARAMETERS angstrom
3.5137 0.0000 0.0000
0.0000 4.3641 0.0000
0.0000 0.0000 13.8313
ATOMIC_POSITIONS angstrom
Dy 0.0000 0.0000 0.0000
Dy 0.0000 2.1821 6.9157
Ho 0.0000 0.0000 10.5024
Ho 0.0000 2.1821 3.5867
Al 1.7569 0.0000 5.2465
Al 1.7569 2.1821 12.1622
Zn 1.7569 0.0000 2.4935
Zn 1.7569 0.0000 8.0202
Zn 1.7569 2.1821 1.1045
Zn 1.7569 2.1821 9.4092
! * energy: -3.47 eV per atom
! * V: 21.21 Å³ per atom
! * symmetry: Amm2 (38)


! HfMg2Zr2 (GGA-PBE, optimized geometry); values from VASP
&SYSTEM
  ibrav = 0, nat = 10, ntyp = 3
/
ATOMIC_SPECIES
Hf 178.49 Hf.upf
Mg 24.30 Mg.upf
Zr 91.22 Zr.upf
CELL_PARAMETERS angstrom
4.0248 0.0000 0.0000
0.0000 4.0248 0.0000
0.0000 0.0000 14.0639
ATOMIC_POSITIONS angstrom
Hf 0.0000 0.0000 0.0000
Hf 2.0124 2.0124 7.0320
Mg 0.0000 0.0000 5.7185
Mg 0.0000 0.0000 8.3454
Mg 2.0124 2.0124 1.3134
Mg 2.0124 2.0124 12.7505
Zr 0.0000 2.0124 3.5160
Zr 0.0000 2.0124 10.5479
Zr 2.0124 0.0000 3.5160
Zr 2.0124 0.0000 10.5479
! * energy: -5.52 eV per atom
! * V: 22.78 Å³ per atom
! * symmetry: I4/mmm (139)


! SrMgGePt (GGA-PBE, optimized geometry); values from VASP
&SYSTEM
  ibrav = 0, nat = 16, ntyp = 4
/
ATOMIC_SPECIES
Sr 87.62 Sr.upf
Mg 24.30 Mg.upf
Ge 72.64 Ge.upf
Pt 195.08 Pt.upf
CELL_PARAMETERS angstrom
7.0511 0.0000 0.0000
0.0000 7.0511 0.0000
0.0000 0.0000 7.0511
ATOMIC_POSITIONS angstrom
Sr 0.0000 0.0000 0.0000
Sr 0.0000 3.5256 3.5256
Sr 3.5256 0.0000 3.5256
Sr 3.5256 3.5256 0.0000
Mg 0.0000 0.0000 3.5256
Mg 0.0000 3.5256 0.0000
Mg 3.5256 0.0000 0.0000
Mg 3.5256 3.5256 3.5256
Ge 1.7628 1.7628 1.7628
Ge 1.7628 5.2884 5.2884
Ge 5.2884 1.7628 5.2884
Ge 5.2884 5.2884 1.7628
Pt 1.7628 1.7628 5.2884
Pt 1.7628 5.2884 1.7628
Pt 5.2884 1.7628 1.7628
Pt 5.2884 5.2884 5.2884
! * energy above the lowest structure with this stoichiometry: 0.011 eV per formula unit
! * energy: -3.86 eV per atom
! * V: 21.91 Å³ per atom
! * symmetry: F-43m (216)